Entry 1:
This record from the Alexandria database describes NdPIrO after structural relaxation. The functional is GGA-PBE.

CIF file:
```
data_NdPIrO
_symmetry_space_group_name_H-M 'P 1'
_symmetry_Int_Tables_number 1
_cell_length_a 4.0162
_cell_length_b 4.0162
_cell_length_c 8.4073
_cell_angle_alpha 90.00
_cell_angle_beta 90.00
_cell_angle_gamma 90.00
loop_
_symmetry_equiv_pos_as_xyz
'x,y,z'
loop_
_atom_site_label
_atom_site_type_symbol
_atom_site_fract_x
_atom_site_fract_y
_atom_site_fract_z
Nd1 Nd 0.2500 0.2500 0.1425
Nd2 Nd 0.7500 0.7500 0.8575
P1 P 0.2500 0.2500 0.6535
P2 P 0.7500 0.7500 0.3465
Ir1 Ir 0.2500 0.7500 0.5000
Ir2 Ir 0.7500 0.2500 0.5000
O1 O 0.2500 0.7500 0.0000
O2 O 0.7500 0.2500 0.0000
```

Calculated values
* density of states at the Fermi level: 1.4 states/eV/f.u.
* calculated density: 9.390 g/cm3
* symmetry: P4/nmm (129)
* raw formation energy: -741 kJ/mol of formula units
* total magnetic moment: 0.0 μB/f.u.

---

Entry 2:
This record from the Alexandria database describes MoP2 after structural relaxation. The functional is GGA-PBE.

CIF file:
```
data_MoP2
_symmetry_space_group_name_H-M 'P 1'
_symmetry_Int_Tables_number 1
_cell_length_a 4.0906
_cell_length_b 4.0906
_cell_length_c 2.8952
_cell_angle_alpha 90.00
_cell_angle_beta 90.00
_cell_angle_gamma 120.00
loop_
_symmetry_equiv_pos_as_xyz
'x,y,z'
loop_
_atom_site_label
_atom_site_type_symbol
_atom_site_fract_x
_atom_site_fract_y
_atom_site_fract_z
Mo1 Mo 0.0000 0.0000 0.0000
P1 P 0.3333 0.6667 0.5000
P2 P 0.6667 0.3333 0.5000
```

Calculated values
* density of states at the Fermi level: 1.1 states/eV/f.u.
* calculated density: 6.249 g/cm3
* symmetry: P6/mmm (191)
* total magnetic moment: 0.0 μB/f.u.
* formation energy: 0.474 eV/atom

---

Entry 3:
This record from the Alexandria database describes TaW3Br after structural relaxation. The functional is GGA-PBE.

CIF file:
```
data_TaW3Br
_symmetry_space_group_name_H-M 'P 1'
_symmetry_Int_Tables_number 1
_cell_length_a 4.8827
_cell_length_b 4.8827
_cell_length_c 4.8827
_cell_angle_alpha 90.00
_cell_angle_beta 90.00
_cell_angle_gamma 90.00
loop_
_symmetry_equiv_pos_as_xyz
'x,y,z'
loop_
_atom_site_label
_atom_site_type_symbol
_atom_site_fract_x
_atom_site_fract_y
_atom_site_fract_z
Ta1 Ta 0.0000 0.0000 0.0000
W1 W 0.0000 0.0000 0.5000
W2 W 0.0000 0.5000 0.0000
W3 W 0.5000 0.0000 0.0000
Br1 Br 0.5000 0.5000 0.5000
```

Calculated values
* density of states at the Fermi level: 9.7 states/eV/f.u.
* calculated density: 11.589 g/cm3
* symmetry: Pm-3m (221)
* excess energy over the best structure of this formula in the dataset: 2.67 eV/f.u.
* raw formation energy: 1261 kJ/mol of formula units
* total magnetic moment: 0.0 μB/f.u.

---

Entry 4:
This record from the Alexandria database describes CsInI4 after structural relaxation. The functional is GGA-PBE.

CIF file:
```
data_CsInI4
_symmetry_space_group_name_H-M 'P 1'
_symmetry_Int_Tables_number 1
_cell_length_a 9.5318
_cell_length_b 9.5318
_cell_length_c 7.1766
_cell_angle_alpha 90.00
_cell_angle_beta 90.00
_cell_angle_gamma 90.00
loop_
_symmetry_equiv_pos_as_xyz
'x,y,z'
loop_
_atom_site_label
_atom_site_type_symbol
_atom_site_fract_x
_atom_site_fract_y
_atom_site_fract_z
Cs1 Cs 0.0000 0.0000 0.0000
Cs2 Cs 0.5000 0.5000 0.5000
In1 In 0.0000 0.5000 0.2500
In2 In 0.5000 0.0000 0.7500
I1 I 0.1291 0.7048 0.4616
I2 I 0.2048 0.3709 0.0384
I3 I 0.2952 0.1291 0.5384
I4 I 0.3709 0.7952 0.9616
I5 I 0.6291 0.2048 0.9616
I6 I 0.7048 0.8709 0.5384
I7 I 0.7952 0.6291 0.0384
I8 I 0.8709 0.2952 0.4616
```

Calculated values
* density of states at the Fermi level: 0.0 states/eV/f.u.
* calculated density: 3.847 g/cm3
* symmetry: I-4 (82)
* excess energy over the best structure of this formula in the dataset: 0.04 eV/f.u.
* raw formation energy: -519 kJ/mol of formula units
* total magnetic moment: 0.0 μB/f.u.

---

Entry 5:
This record from the Alexandria database describes LaMgFe2 after structural relaxation. The functional is GGA-PBE.

CIF file:
```
data_LaMgFe2
_symmetry_space_group_name_H-M 'P 1'
_symmetry_Int_Tables_number 1
_cell_length_a 3.6589
_cell_length_b 4.2201
_cell_length_c 10.3821
_cell_angle_alpha 90.00
_cell_angle_beta 90.00
_cell_angle_gamma 90.00
loop_
_symmetry_equiv_pos_as_xyz
'x,y,z'
loop_
_atom_site_label
_atom_site_type_symbol
_atom_site_fract_x
_atom_site_fract_y
_atom_site_fract_z
La1 La 0.0000 0.0000 0.0000
La2 La 0.0000 0.5000 0.5000
Mg1 Mg 0.5000 0.0000 0.2842
Mg2 Mg 0.5000 0.5000 0.7842
Fe1 Fe 0.0000 0.0000 0.7171
Fe2 Fe 0.0000 0.5000 0.2171
Fe3 Fe 0.5000 0.0000 0.5902
Fe4 Fe 0.5000 0.5000 0.0902
```

Calculated values
* density of states at the Fermi level: 3.2 states/eV/f.u.
* calculated density: 5.695 g/cm3
* symmetry: Amm2 (38)
* total magnetic moment: 3.5 μB/f.u.
* formation energy: 0.180 eV/atom

---

Entry 6:
This record from the Alexandria database describes Cd8Pd2Pt after structural relaxation. The functional is GGA-PBE.

CIF file:
```
data_Cd8Pd2Pt
_symmetry_space_group_name_H-M 'P 1'
_symmetry_Int_Tables_number 1
_cell_length_a 7.7916
_cell_length_b 7.7916
_cell_length_c 7.7916
_cell_angle_alpha 146.81
_cell_angle_beta 122.39
_cell_angle_gamma 68.13
loop_
_symmetry_equiv_pos_as_xyz
'x,y,z'
loop_
_atom_site_label
_atom_site_type_symbol
_atom_site_fract_x
_atom_site_fract_y
_atom_site_fract_z
Cd1 Cd 0.1318 0.3484 0.7834
Cd2 Cd 0.1476 0.1476 0.0000
Cd3 Cd 0.3082 0.0000 0.3082
Cd4 Cd 0.4350 0.6516 0.7834
Cd5 Cd 0.5650 0.3484 0.2166
Cd6 Cd 0.6918 0.0000 0.6918
Cd7 Cd 0.8524 0.8524 0.0000
Cd8 Cd 0.8682 0.6516 0.2166
Pd1 Pd 0.3006 0.8006 0.5000
Pd2 Pd 0.6994 0.1994 0.5000
Pt1 Pt 0.0000 0.5000 0.5000
```

Calculated values
* density of states at the Fermi level: 4.1 states/eV/f.u.
* calculated density: 10.063 g/cm3
* symmetry: Immm (71)
* excess energy over the best structure of this formula in the dataset: 0.00 eV/f.u.
* total magnetic moment: 0.0 μB/f.u.
* formation energy: -0.243 eV/atom